[1]
A relaxed structure of PuZnFe. Source: the Open Quantum Materials Database, functional GGA-PBE.

The value obtained for the total magnetic moment is 0.01 μB per cell. The value obtained for the total energy is -6.43 eV/atom.

Unit cell a=4.376 b=4.376 c=4.376 alpha=60.00 beta=60.00 gamma=60.00
Positions (direct):
1 Pu 0.250 0.250 0.250
2 Fe 0.000 0.000 0.000
3 Zn 0.500 0.500 0.500

---

[2]
A relaxed structure of PuZnFe. Source: the Open Quantum Materials Database, functional GGA-PBE.

The value obtained for the total magnetic moment is 3.87 μB per cell. The value obtained for the total energy is -7.72 eV/atom.

Unit cell a=4.218 b=4.218 c=4.218 alpha=60.00 beta=60.00 gamma=60.00
Site moments in Bohr magnetons follow the coordinates.
Positions (direct):
1 Pu 0.750 0.750 0.750  5.06
2 Zn 0.250 0.250 0.250  0.06
3 Fe 0.000 0.000 0.000  -1.53

---

[3]
A relaxed structure of PuZrFe. Source: the Open Quantum Materials Database, functional GGA-PBE.

The value obtained for the total magnetic moment is 0.03 μB per cell. The value obtained for the total energy is -9.57 eV/atom. For the excess energy over the best structure of this formula in the dataset, the calculation gives 0 meV per atom.

Unit cell a=4.336 b=4.336 c=4.336 alpha=60.00 beta=60.00 gamma=60.00
Positions (direct):
1 Zr 0.750 0.750 0.750
2 Fe 0.000 0.000 0.000
3 Pu 0.250 0.250 0.250

---

[4]
A relaxed structure of Rb3Fe. Source: the Open Quantum Materials Database, functional GGA-PBE.

The value obtained for the total magnetic moment is 5.98 μB per cell. The value obtained for the total energy is -2.00 eV/atom. For the excess energy over the best structure of this formula in the dataset, the calculation gives 0 meV per atom.

Unit cell a=6.675 b=6.675 c=11.424 alpha=90.00 beta=90.00 gamma=120.27
Site moments in Bohr magnetons follow the coordinates.
Positions (direct):
1 Rb 0.667 0.333 0.067  -0.01
2 Rb 0.333 0.667 0.567  -0.01
3 Rb 0.333 0.667 0.933  -0.01
4 Rb 0.667 0.333 0.433  -0.01
5 Rb 0.001 0.999 0.750  -0.01
6 Rb 0.999 0.001 0.250  -0.01
7 Fe 0.332 0.668 0.250  3.07
8 Fe 0.668 0.332 0.750  3.07